(1)
# CaTaBe

A relaxed structure of CaTaBe (PBE, the Alexandria database).

Cell: 3.1458 3.1458 6.8416 Å, 90.00 90.00 120.00°
Closest atoms and distances in Å follow each position.
Fractional positions:
Ca: 0.0000 0.0000 0.0000  3 Be 2.94, 6 Ca 3.15
Ta: 0.6667 0.3333 0.4020  3 Be 2.55
Be: 0.3333 0.6667 0.6627  3 Ta 2.55

Values from the calculation:
As for the total DFT energy (no corrections): -5.103 eV per atom. The calculation puts the total magnetization at 0.3 μB per cell. The volume is 19.54 Å³ per atom. As for the space-group type: No. 156. The relative energy among the computed polymorphs comes out at 0.287 eV/atom. The value obtained for the formation energy from the elements is 2.3 eV/f.u.

---

(2)
# CaTa4Be

A relaxed structure of CaTa4Be (PBE, the Alexandria database).

Cell: 5.5860 5.5860 5.5860 Å, 60.00 60.00 60.00°
Closest atoms and distances in Å follow each position.
Fractional positions:
Ca: 0.0000 0.0000 0.0000  12 Ta 3.27, 4 Be 3.42
Ta: 0.1199 0.6267 0.6267  6 Ta 2.75-2.83
Ta: 0.6267 0.1199 0.6267  6 Ta 2.75-2.83
Ta: 0.6267 0.6267 0.1199  6 Ta 2.75-2.83
Ta: 0.6267 0.6267 0.6267  6 Ta 2.75-2.83
Be: 0.2500 0.2500 0.2500  12 Ta 3.28, 4 Ca 3.42

Values from the calculation:
As for the total DFT energy (no corrections): -8.099 eV per atom. The calculation puts the total magnetization at 0.0 μB per cell. The volume is 20.54 Å³ per atom. As for the space-group type: No. 216. The value obtained for the formation energy from the elements is 4.5 eV/f.u.

---

(3)
# CaTa2Be

A relaxed structure of CaTa2Be (PBE, the Alexandria database).

Cell: 7.4217 7.4217 7.4217 Å, 156.26 149.96 38.64°
Closest atoms and distances in Å follow each position.
Fractional positions:
Ca: 0.0000 0.0000 0.0000  2 Be 2.99, 2 Ca 3.05, 2 Ta 3.32
Ta: 0.3318 0.3318 0.0000  2 Be 2.58, 2 Ta 2.74
Ta: 0.6929 0.1929 0.5000  4 Be 2.46, 2 Ta 2.74
Be: 0.1831 0.6831 0.5000  6 Ta 2.46-2.58

Values from the calculation:
As for the total DFT energy (no corrections): -6.777 eV per atom. The calculation puts the total magnetization at 0.0 μB per cell. The volume is 20.56 Å³ per atom. As for the space-group type: No. 44. The value obtained for the formation energy from the elements is 2.3 eV/f.u.

---

(4)
# Ca2TaBe

A relaxed structure of Ca2TaBe (PBE, the Alexandria database).

Cell: 6.3284 6.3284 6.3284 Å, 150.73 130.60 58.46°
Closest atoms and distances in Å follow each position.
Fractional positions:
Ca: 0.0000 0.0000 0.0000  4 Be 3.11, 4 Ca 3.20-3.47, 2 Ta 3.44
Ca: 0.7035 0.2035 0.5000  2 Be 3.06, 2 Ca 3.20, 4 Ta 3.27
Ta: 0.3004 0.8004 0.5000  2 Be 2.44
Be: 0.4676 0.4676 0.0000  2 Ta 2.44

Values from the calculation:
As for the total DFT energy (no corrections): -4.315 eV per atom. The calculation puts the total magnetization at 0.8 μB per cell. The volume is 23.35 Å³ per atom. As for the space-group type: No. 44. The value obtained for the formation energy from the elements is 2.3 eV/f.u.

---

(5)
# CaTaBe

A relaxed structure of CaTaBe (PBE, the Alexandria database).

Cell: 6.6647 6.6647 6.6647 Å, 154.07 154.07 37.01°
Closest atoms and distances in Å follow each position.
Fractional positions:
Ca: 0.0000 0.0000 0.0000  4 Ca 2.99, 4 Be 3.04
Ta: 0.2872 0.2872 0.0000  4 Be 2.56
Be: 0.6725 0.6725 0.0000  4 Ta 2.56

Values from the calculation:
As for the total DFT energy (no corrections): -5.389 eV per atom. The calculation puts the total magnetization at 0.0 μB per cell. The volume is 18.85 Å³ per atom. As for the space-group type: No. 107. The relative energy among the computed polymorphs comes out at 0.000 eV/atom. The value obtained for the formation energy from the elements is 1.4 eV/f.u.

---

(6)
# CaTaBe2

A relaxed structure of CaTaBe2 (PBE, the Alexandria database).

Cell: 2.9608 3.5256 6.3766 Å, 90.00 90.07 90.00°
Closest atoms and distances in Å follow each position.
Fractional positions:
Ca: 0.0000 0.0000 0.0000  2 Ca 2.96, 8 Be 3.08-3.09, 2 Ta 3.19
Ta: 0.0000 0.0000 0.5000  8 Be 2.57
Be: 0.5001 0.5000 0.3219  1 Be 2.27
Be: 0.4999 0.5000 0.6781  1 Be 2.27

Values from the calculation:
As for the total DFT energy (no corrections): -5.076 eV per atom. The calculation puts the total magnetization at 0.0 μB per cell. The volume is 16.64 Å³ per atom. As for the space-group type: No. 10. The relative energy among the computed polymorphs comes out at 0.000 eV/atom. The value obtained for the formation energy from the elements is 1.0 eV/f.u.

---

(7)
# CaTa2Be

A relaxed structure of CaTa2Be (PBE, the Alexandria database).

Cell: 3.3891 3.3891 7.0239 Å, 90.00 90.00 90.00°
Closest atoms and distances in Å follow each position.
Fractional positions:
Ca: 0.0000 0.0000 0.0000  4 Be 3.20, 5 Ta 3.25-3.41, 4 Ca 3.39
Ta: 0.0000 0.0000 0.5369  4 Be 2.65, 4 Ta 2.75
Ta: 0.5000 0.5000 0.3455  1 Be 2.48, 4 Ta 2.75
Be: 0.5000 0.5000 0.6988  5 Ta 2.48-2.65

Values from the calculation:
As for the total DFT energy (no corrections): -6.980 eV per atom. The calculation puts the total magnetization at 0.0 μB per cell. The volume is 20.17 Å³ per atom. As for the space-group type: No. 99. The value obtained for the formation energy from the elements is 1.5 eV/f.u.

---

(8)
# Ca2TaBe

A relaxed structure of Ca2TaBe (PBE, the Alexandria database).

Cell: 6.2854 6.2854 6.2854 Å, 150.00 135.36 54.72°
Closest atoms and distances in Å follow each position.
Fractional positions:
Ca: 0.2011 0.2011 0.0000  2 Be 2.77, 4 Ca 3.09
Ca: 0.7989 0.7989 0.0000  2 Be 2.77, 4 Ca 3.09
Ta: 0.5000 0.0000 0.5000  4 Be 2.89
Be: 0.0000 0.5000 0.5000  4 Ca 2.77, 4 Ta 2.89

Values from the calculation:
As for the total DFT energy (no corrections): -4.078 eV per atom. The calculation puts the total magnetization at 0.0 μB per cell. The volume is 21.68 Å³ per atom. As for the space-group type: No. 71. The value obtained for the formation energy from the elements is 3.3 eV/f.u.

---

(9)
# CaTaBe2

A relaxed structure of CaTaBe2 (PBE, the Alexandria database).

Cell: 8.4336 8.4336 8.4336 Å, 21.35 21.35 21.35°
Closest atoms and distances in Å follow each position.
Fractional positions:
Ca: 0.0000 0.0000 0.0000  6 Be 2.92, 6 Ca 3.13
Ta: 0.5000 0.5000 0.5000  6 Be 2.56
Be: 0.2403 0.2403 0.2403  3 Ta 2.56
Be: 0.7597 0.7597 0.7597  3 Ta 2.56

Values from the calculation:
As for the total DFT energy (no corrections): -4.648 eV per atom. The calculation puts the total magnetization at 0.0 μB per cell. The volume is 17.42 Å³ per atom. As for the space-group type: No. 166. The relative energy among the computed polymorphs comes out at 0.428 eV/atom. The value obtained for the formation energy from the elements is 2.7 eV/f.u.

---

(10)
# CaTaBe2

A relaxed structure of CaTaBe2 (PBE, the Alexandria database).

Cell: 6.0933 6.0933 6.0933 Å, 150.05 141.67 49.39°
Closest atoms and distances in Å follow each position.
Fractional positions:
Ca: 0.0000 0.0000 0.0000  6 Be 2.92-3.13, 2 Ca 3.15
Ta: 0.2661 0.7661 0.5000  6 Be 2.51-2.55
Be: 0.6294 0.6294 0.0000  2 Be 2.11
Be: 0.7560 0.2560 0.5000  2 Be 2.11

Values from the calculation:
As for the total DFT energy (no corrections): -4.901 eV per atom. The calculation puts the total magnetization at 0.0 μB per cell. The volume is 17.44 Å³ per atom. As for the space-group type: No. 44. The relative energy among the computed polymorphs comes out at 0.175 eV/atom. The value obtained for the formation energy from the elements is 1.7 eV/f.u.

---

(11)
# Ca2TaBe

A relaxed structure of Ca2TaBe (PBE, the Alexandria database).

Cell: 3.1673 3.1673 8.9508 Å, 90.00 90.00 90.00°
Closest atoms and distances in Å follow each position.
Fractional positions:
Ca: 0.0000 0.0000 0.2238  4 Be 3.00, 4 Ca 3.17, 4 Ta 3.34
Ca: 0.0000 0.0000 0.7762  4 Be 3.00, 4 Ca 3.17, 4 Ta 3.34
Ta: 0.5000 0.5000 0.5000  4 Ta 3.17, 8 Ca 3.34
Be: 0.5000 0.5000 0.0000  8 Ca 3.00, 4 Be 3.17

Values from the calculation:
As for the total DFT energy (no corrections): -4.187 eV per atom. The calculation puts the total magnetization at 0.0 μB per cell. The volume is 22.45 Å³ per atom. As for the space-group type: No. 123. The value obtained for the formation energy from the elements is 2.8 eV/f.u.

---

(12)
# CaTa2Be

A relaxed structure of CaTa2Be (PBE, the Alexandria database).

Cell: 4.0993 4.0993 4.4195 Å, 90.00 90.00 90.00°
Closest atoms and distances in Å follow each position.
Fractional positions:
Ca: 0.0000 0.0000 0.0000  4 Be 2.90, 8 Ta 3.01
Ta: 0.0000 0.5000 0.5000  4 Ta 2.90, 4 Be 3.01, 4 Ca 3.01
Ta: 0.5000 0.0000 0.5000  4 Ta 2.90, 4 Be 3.01, 4 Ca 3.01
Be: 0.5000 0.5000 0.0000  4 Ca 2.90, 8 Ta 3.01

Values from the calculation:
As for the total DFT energy (no corrections): -6.587 eV per atom. The calculation puts the total magnetization at 0.0 μB per cell. The volume is 18.57 Å³ per atom. As for the space-group type: No. 123. The value obtained for the formation energy from the elements is 3.1 eV/f.u.

---

(13)
# CaTaBe2

A relaxed structure of CaTaBe2 (PBE, the Alexandria database).

Cell: 5.2297 5.2297 4.9677 Å, 108.49 108.49 29.87°
Closest atoms and distances in Å follow each position.
Fractional positions:
Ca: 0.0000 0.0000 0.0000  2 Ca 2.70, 7 Be 2.80-2.92
Ta: 0.8032 0.8032 0.3727  5 Be 2.69-2.90, 2 Ta 2.70
Be: 0.2302 0.2302 0.7851  2 Be 2.32
Be: 0.5474 0.5474 0.5183  2 Be 2.32

Values from the calculation:
As for the total DFT energy (no corrections): -4.809 eV per atom. The calculation puts the total magnetization at 0.0 μB per cell. The volume is 15.98 Å³ per atom. As for the space-group type: No. 8. The relative energy among the computed polymorphs comes out at 0.267 eV/atom. The value obtained for the formation energy from the elements is 2.1 eV/f.u.

---

(14)
# CaTa2Be

A relaxed structure of CaTa2Be (PBE, the Alexandria database).

Cell: 2.9823 5.0001 5.2286 Å, 90.00 99.39 90.00°
Closest atoms and distances in Å follow each position.
Fractional positions:
Ca: 0.0000 0.0000 0.0000  2 Be 2.79, 2 Ca 2.98
Ta: 0.3391 0.5000 0.7236  5 Ta 2.67-2.98, 2 Be 2.83
Ta: 0.6609 0.5000 0.2764  5 Ta 2.67-2.98, 2 Be 2.83
Be: 0.5000 0.0000 0.5000  2 Ca 2.79, 4 Ta 2.83, 2 Be 2.98

Values from the calculation:
As for the total DFT energy (no corrections): -6.692 eV per atom. The calculation puts the total magnetization at 0.0 μB per cell. The volume is 19.23 Å³ per atom. As for the space-group type: No. 10. The value obtained for the formation energy from the elements is 2.7 eV/f.u.

---

(15)
# CaTaBe2

A relaxed structure of CaTaBe2 (PBE, the Alexandria database).

Cell: 4.4856 4.4856 6.0186 Å, 99.48 99.48 37.79°
Closest atoms and distances in Å follow each position.
Fractional positions:
Ca: 0.0000 0.0000 0.0000  2 Ca 2.91, 6 Be 3.11-3.22
Ta: 0.5000 0.5000 0.5000  6 Be 2.48-2.57
Be: 0.2456 0.2456 0.6489  2 Be 2.32, 3 Ta 2.48-2.57
Be: 0.7544 0.7544 0.3511  2 Be 2.32, 3 Ta 2.48-2.57

Values from the calculation:
As for the total DFT energy (no corrections): -4.747 eV per atom. The calculation puts the total magnetization at 0.0 μB per cell. The volume is 18.27 Å³ per atom. As for the space-group type: No. 12. The relative energy among the computed polymorphs comes out at 0.329 eV/atom. The value obtained for the formation energy from the elements is 2.3 eV/f.u.

---

(16)
# Ca2TaBe

A relaxed structure of Ca2TaBe (PBE, the Alexandria database).

Cell: 5.7933 5.7933 3.0192 Å, 90.00 90.00 116.72°
Closest atoms and distances in Å follow each position.
Fractional positions:
Ca: 0.0000 0.5000 0.0000  4 Ca 3.02-3.04, 4 Ta 3.27, 4 Be 3.27
Ca: 0.5000 0.0000 0.0000  4 Ca 3.02-3.04, 4 Ta 3.27, 4 Be 3.27
Ta: 0.0000 0.0000 0.5000  2 Ta 3.02, 2 Be 3.04, 8 Ca 3.27
Be: 0.5000 0.5000 0.5000  2 Be 3.02, 2 Ta 3.04, 8 Ca 3.27

Values from the calculation:
As for the total DFT energy (no corrections): -4.029 eV per atom. The calculation puts the total magnetization at 0.0 μB per cell. The volume is 22.63 Å³ per atom. As for the space-group type: No. 65. The value obtained for the formation energy from the elements is 3.5 eV/f.u.

---

(17)
# Ca2TaBe

A relaxed structure of Ca2TaBe (PBE, the Alexandria database).

Cell: 3.2296 3.2296 8.9746 Å, 90.00 90.00 90.00°
Closest atoms and distances in Å follow each position.
Fractional positions:
Ca: 0.0000 0.0000 0.0000  4 Be 3.05, 1 Ta 3.22, 4 Ca 3.23
Ca: 0.5000 0.5000 0.3696  4 Ca 3.23, 4 Ta 3.34
Ta: 0.0000 0.0000 0.6412  4 Be 2.58
Be: 0.5000 0.5000 0.7753  4 Ta 2.58

Values from the calculation:
As for the total DFT energy (no corrections): -4.453 eV per atom. The calculation puts the total magnetization at 0.0 μB per cell. The volume is 23.40 Å³ per atom. As for the space-group type: No. 99. The value obtained for the formation energy from the elements is 1.8 eV/f.u.

---

(18)
# Ca2TaBe

A relaxed structure of Ca2TaBe (PBE, the Alexandria database).

Cell: 3.1507 4.7492 6.0238 Å, 90.00 90.15 90.00°
Closest atoms and distances in Å follow each position.
Fractional positions:
Ca: 0.0009 0.0000 0.2566  4 Ca 2.93-3.15, 4 Be 3.20-3.21, 4 Ta 3.24
Ca: 0.9991 0.0000 0.7434  4 Ca 2.93-3.15, 4 Be 3.20-3.21, 4 Ta 3.24
Ta: 0.5000 0.5000 0.0000  2 Be 3.01, 2 Ta 3.15, 8 Ca 3.24
Be: 0.5000 0.5000 0.5000  2 Ta 3.01, 2 Be 3.15, 8 Ca 3.20-3.21

Values from the calculation:
As for the total DFT energy (no corrections): -4.052 eV per atom. The calculation puts the total magnetization at 0.3 μB per cell. The volume is 22.53 Å³ per atom. As for the space-group type: No. 10. The value obtained for the formation energy from the elements is 3.4 eV/f.u.

---

(19)
# Ca2TaBe

A relaxed structure of Ca2TaBe (PBE, the Alexandria database).

Cell: 10.4949 10.4949 10.4949 Å, 17.55 17.55 17.55°
Closest atoms and distances in Å follow each position.
Fractional positions:
Ca: 0.2448 0.2448 0.2448  3 Be 3.05, 6 Ca 3.20, 3 Ta 3.31
Ca: 0.7552 0.7552 0.7552  3 Be 3.05, 6 Ca 3.20, 3 Ta 3.31
Ta: 0.0000 0.0000 0.0000  6 Ta 3.20, 6 Ca 3.31
Be: 0.5000 0.5000 0.5000  6 Ca 3.05, 6 Be 3.20

Values from the calculation:
As for the total DFT energy (no corrections): -4.041 eV per atom. The calculation puts the total magnetization at 0.4 μB per cell. The volume is 22.93 Å³ per atom. As for the space-group type: No. 166. The value obtained for the formation energy from the elements is 3.4 eV/f.u.

---

(20)
# CaTaBe2

A relaxed structure of CaTaBe2 (PBE, the Alexandria database).

Cell: 4.5621 4.5621 4.5621 Å, 60.00 60.00 60.00°
Closest atoms and distances in Å follow each position.
Fractional positions:
Ca: 0.0000 0.0000 0.0000  4 Be 2.79, 4 Ta 2.79
Ta: 0.2500 0.2500 0.2500  4 Ca 2.79, 4 Be 2.79
Be: 0.5000 0.5000 0.5000  4 Be 2.79, 4 Ta 2.79
Be: 0.7500 0.7500 0.7500  4 Ca 2.79, 4 Be 2.79

Values from the calculation:
As for the total DFT energy (no corrections): -4.227 eV per atom. The calculation puts the total magnetization at 2.4 μB per cell. The volume is 16.79 Å³ per atom. As for the space-group type: No. 216. The relative energy among the computed polymorphs comes out at 0.849 eV/atom. The value obtained for the formation energy from the elements is 4.4 eV/f.u.